Compound: Li3IrF6
Source: Alexandria via LeMat-Bulk
Functional: GGA-PBE
Structure: relaxed

Results
DOS(E_F) = 0.00 states/eV per atom
Magnetization = 0.1 μB per cell
Excess energy over the best structure of this formula in the dataset = 87 meV/atom
Uncorrected formation energy = -51.10 kcal/mol of atoms
SG = P-1 (2)
Electronic total energy = -48.0 eV for the cell shown

a b c (Å): 4.6284 5.7608 5.9467
angles (deg): 62.27 75.34 88.67
With the nearest neighbours (Å) after each atom.
Atoms (fractional coordinates):
Li: 0.0000 0.0000 0.0000  4 F 1.91-1.96
Li: 0.0000 0.5000 0.0000  4 F 1.90-1.95
Li: 0.5000 0.0000 0.5000  4 F 1.95-1.98
Ir: 0.0000 0.5000 0.5000  6 F 2.04-2.05
F: 0.1576 0.7278 0.6323  2 Li 1.90-1.98, 1 Ir 2.04
F: 0.2269 0.6938 0.1056  2 Li 1.95-1.96, 1 Ir 2.05
F: 0.2543 0.2014 0.6498  2 Li 1.91-1.95, 1 Ir 2.04
F: 0.7457 0.7986 0.3502  2 Li 1.91-1.95, 1 Ir 2.04
F: 0.7731 0.3062 0.8944  2 Li 1.95-1.96, 1 Ir 2.05
F: 0.8424 0.2722 0.3677  2 Li 1.90-1.98, 1 Ir 2.04